No. 1
A relaxed TiGa3Bi crystal, computed with PBEsol.

a b c (Å): 4.9216 4.9216 4.9216
angles (deg): 90.00 90.00 90.00
Last column: nearest neighbours and their distance in Å.
Sites, in units of the cell vectors:
Ti (0.0000, 0.0000, 0.0000)  6 Ga 2.46
Ga (0.0000, 0.0000, 0.5000)  2 Ti 2.46
Ga (0.0000, 0.5000, 0.0000)  2 Ti 2.46
Ga (0.5000, 0.0000, 0.0000)  2 Ti 2.46
Bi (0.5000, 0.5000, 0.5000)  12 Ga 3.48

Output
- VASP energy: -4.1072 eV per atom
- ΔE_f: 0.42 eV/atom
- N(E_F): 4.387 states/eV/cell



No. 2
A relaxed TlGaBi3 crystal, computed with PBEsol.

a b c (Å): 5.4667 5.4667 5.4667
angles (deg): 90.00 90.00 90.00
Last column: nearest neighbours and their distance in Å.
Sites, in units of the cell vectors:
Tl (0.0000, 0.0000, 0.0000)  12 Bi 3.87
Ga (0.5000, 0.5000, 0.5000)  6 Bi 2.73
Bi (0.0000, 0.5000, 0.5000)  2 Ga 2.73
Bi (0.5000, 0.0000, 0.5000)  2 Ga 2.73
Bi (0.5000, 0.5000, 0.0000)  2 Ga 2.73

Output
- VASP energy: -3.3955 eV per atom
- ΔE_f: 0.37 eV/atom
- N(E_F): 2.925 states/eV/cell



No. 3
A relaxed TlGa2Bi crystal, computed with PBEsol.

a b c (Å): 7.2771 7.2771 7.2771
angles (deg): 90.00 90.00 90.00
Last column: nearest neighbours and their distance in Å.
Sites, in units of the cell vectors:
Tl (0.0000, 0.0000, 0.0000)  8 Ga 3.15
Tl (0.0000, 0.5000, 0.5000)  8 Ga 3.15
Tl (0.5000, 0.0000, 0.5000)  8 Ga 3.15
Tl (0.5000, 0.5000, 0.0000)  8 Ga 3.15
Ga (0.2500, 0.2500, 0.2500)  4 Tl 3.15, 4 Bi 3.15
Ga (0.2500, 0.2500, 0.7500)  4 Tl 3.15, 4 Bi 3.15
Ga (0.2500, 0.7500, 0.2500)  4 Tl 3.15, 4 Bi 3.15
Ga (0.2500, 0.7500, 0.7500)  4 Tl 3.15, 4 Bi 3.15
Ga (0.7500, 0.2500, 0.2500)  4 Tl 3.15, 4 Bi 3.15
Ga (0.7500, 0.2500, 0.7500)  4 Tl 3.15, 4 Bi 3.15
Ga (0.7500, 0.7500, 0.2500)  4 Tl 3.15, 4 Bi 3.15
Ga (0.7500, 0.7500, 0.7500)  4 Tl 3.15, 4 Bi 3.15
Bi (0.0000, 0.0000, 0.5000)  8 Ga 3.15
Bi (0.0000, 0.5000, 0.0000)  8 Ga 3.15
Bi (0.5000, 0.0000, 0.0000)  8 Ga 3.15
Bi (0.5000, 0.5000, 0.5000)  8 Ga 3.15

Output
- VASP energy: -3.3269 eV per atom
- ΔE_f: 0.07 eV/atom
- N(E_F): 7.290 states/eV/cell